Record 1
Compound: YAl2Si
Source: Alexandria
Functional: PBE
Structure: relaxed

The total energy is -41.35 eV for the cell shown. Its calculated volume is 19.2 Å³ per atom. Its spin magnetization is 0.00 μB per formula unit.

The space group is Imm2 (No. 44) and the conventional cell measures 3.952, 4.160 and 9.337 Å, with angles of 90.00, 90.00 and 90.00 degrees. The inequivalent atoms are Y at (0.000, 0.000, 0.000), Al at (0.000, 0.000, 0.560), Al at (0.000, 0.500, 0.764) and Si at (0.000, 0.500, 0.254).

Record 2
Compound: YAlSi2
Source: Alexandria
Functional: PBE
Structure: relaxed

The total energy is -86.79 eV for the cell shown. Its calculated volume is 20.3 Å³ per atom. Its spin magnetization is 0.00 μB per formula unit.

The space group is I-42d (No. 122) and the conventional cell measures 7.342, 7.342 and 6.018 Å, with angles of 90.00, 90.00 and 90.00 degrees. The inequivalent atoms are Y at (0.000, 0.000, 0.000), Al at (0.000, 0.000, 0.500) and Si at (0.208, 0.750, 0.625).

Copy entry 1 word for word.
Compound: YAl2Si
Source: Alexandria
Functional: PBE
Structure: relaxed

The total energy is -41.35 eV for the cell shown. Its calculated volume is 19.2 Å³ per atom. Its spin magnetization is 0.00 μB per formula unit.

The space group is Imm2 (No. 44) and the conventional cell measures 3.952, 4.160 and 9.337 Å, with angles of 90.00, 90.00 and 90.00 degrees. The inequivalent atoms are Y at (0.000, 0.000, 0.000), Al at (0.000, 0.000, 0.560), Al at (0.000, 0.500, 0.764) and Si at (0.000, 0.500, 0.254).